1.
Compound: KNbCrS2
Source: Alexandria
Functional: GGA-PBE
Structure: optimized geometry

Its uncorrected formation energy is 27.4 kJ/mol of atoms. For the magnetic moment, the calculation gives 0.30 μB/f.u. The calculation puts the calculated volume at 106.27 Å³/f.u.

The structure belongs to space group P4/mmm (No. 123); the cell edges are 4.874, 4.874 and 4.474 Å and the angles 90.00°, 90.00° and 90.00°. The distinct sites, in fractional coordinates, are K at (0.000, 0.000, 0.000), Nb at (0.500, 0.500, 0.000), Cr at (0.500, 0.500, 0.500) and S at (0.000, 0.500, 0.500).



2.
Compound: KNbCr2Sb
Source: Alexandria
Functional: GGA-PBE
Structure: optimized geometry

Its uncorrected formation energy is 140.7 kJ/mol of atoms. For the magnetic moment, the calculation gives 4.75 μB/f.u. The calculation puts the calculated volume at 128.61 Å³/f.u.

The structure belongs to space group P4/mmm (No. 123); the cell edges are 4.840, 4.840 and 5.491 Å and the angles 90.00°, 90.00° and 90.00°. The distinct sites, in fractional coordinates, are K at (0.000, 0.000, 0.000), Nb at (0.000, 0.000, 0.500), Cr at (0.000, 0.500, 0.500) and Sb at (0.500, 0.500, 0.000).



3.
Compound: K2Nb2CrSe6
Source: Alexandria
Functional: GGA-PBE
Structure: optimized geometry

Its uncorrected formation energy is -84.3 kJ/mol of atoms. For the magnetic moment, the calculation gives 1.95 μB/f.u. The calculation puts the calculated volume at 282.17 Å³/f.u.

The structure belongs to space group C2/m (No. 12); the cell edges are 6.333, 11.028 and 8.284 Å and the angles 90.00°, 102.73° and 90.00°. The distinct sites, in fractional coordinates, are K at (0.000, 0.182, 0.000), Nb at (0.000, 0.365, 0.500), Cr at (0.000, 0.000, 0.500), Se at (0.212, 0.168, 0.678) and Se at (0.249, 0.000, 0.287).



4.
Compound: K3NbCr2Se6
Source: Alexandria
Functional: GGA-PBE
Structure: optimized geometry

Its uncorrected formation energy is -79.0 kJ/mol of atoms. For the magnetic moment, the calculation gives 8.00 μB/f.u. The calculation puts the calculated volume at 297.83 Å³/f.u.

The structure belongs to space group C2/m (No. 12); the cell edges are 6.812, 11.779 and 7.762 Å and the angles 90.00°, 106.98° and 90.00°. The distinct sites, in fractional coordinates, are K at (0.000, 0.000, 0.000), K at (0.000, 0.336, 0.000), Nb at (0.000, 0.500, 0.500), Cr at (0.000, 0.167, 0.500), Se at (0.220, 0.000, 0.682) and Se at (0.231, 0.330, 0.683).



5.
Compound: K2NbCr2Se6
Source: Alexandria
Functional: GGA-PBE
Structure: optimized geometry

Its uncorrected formation energy is -77.3 kJ/mol of atoms. For the magnetic moment, the calculation gives 4.99 μB/f.u. The calculation puts the calculated volume at 280.90 Å³/f.u.

The structure belongs to space group C2/m (No. 12); the cell edges are 6.412, 11.114 and 8.145 Å and the angles 90.00°, 104.58° and 90.00°. The distinct sites, in fractional coordinates, are K at (0.000, 0.163, 0.000), Nb at (0.000, 0.000, 0.500), Cr at (0.000, 0.333, 0.500), Se at (0.213, 0.500, 0.686) and Se at (0.232, 0.171, 0.685).



6.
Compound: KTaNb2Cr
Source: Alexandria
Functional: GGA-PBE
Structure: optimized geometry

The value obtained for the uncorrected energy is -6.6777 eV per atom. For the magnetic moment, the calculation gives 0.65 μB/f.u. The calculation puts the calculated volume at 107.90 Å³/f.u.

The structure belongs to space group P4/mmm (No. 123); the cell edges are 4.691, 4.691 and 4.904 Å and the angles 90.00°, 90.00° and 90.00°. The distinct sites, in fractional coordinates, are K at (0.000, 0.000, 0.000), Ta at (0.500, 0.500, 0.000), Nb at (0.000, 0.500, 0.500) and Cr at (0.000, 0.000, 0.500).